# 1
{
  "formula": "ReBF2",
  "functional": "GGA-PBE",
  "state": "relaxed",
  "space_group": "R-3m (166)",
  "density_g_cm3": 6.045,
  "formation_energy_uncorrected_ev_per_atom": -0.26,
  "polymorph_energy_ev_per_atom": 0.000,
  "lattice": [[2.637, 0.000, 0.000], [-1.318, 2.283, 0.000], [0.000, 0.000, 32.169]],
  "species": ["Re", "Re", "Re", "B", "B", "B", "F", "F", "F", "F", "F", "F"],
  "frac_coords": [[0.000, 0.000, 0.000], [0.333, 0.667, 0.667], [0.667, 0.333, 0.333], [0.000, 0.000, 0.500], [0.333, 0.667, 0.167], [0.667, 0.333, 0.833], [0.000, 0.000, 0.458], [0.000, 0.000, 0.542], [0.333, 0.667, 0.125], [0.333, 0.667, 0.208], [0.667, 0.333, 0.792], [0.667, 0.333, 0.875]]
}

---

# 2
{
  "formula": "ReBF2",
  "functional": "GGA-PBE",
  "state": "relaxed",
  "space_group": "Fd-3m (227)",
  "density_g_cm3": 8.108,
  "formation_energy_uncorrected_ev_per_atom": 0.93,
  "polymorph_energy_ev_per_atom": 1.196,
  "lattice": [[0.000, 3.638, 3.638], [3.638, 0.000, 3.638], [3.638, 3.638, 0.000]],
  "species": ["Re", "Re", "B", "B", "F", "F", "F", "F"],
  "frac_coords": [[0.125, 0.125, 0.125], [0.875, 0.875, 0.875], [0.375, 0.375, 0.375], [0.625, 0.625, 0.625], [0.000, 0.500, 0.500], [0.500, 0.000, 0.500], [0.500, 0.500, 0.000], [0.500, 0.500, 0.500]]
}

---

# 3
{
  "formula": "ReBF2",
  "functional": "GGA-PBE",
  "state": "relaxed",
  "space_group": "R-3m (166)",
  "density_g_cm3": 7.807,
  "formation_energy_uncorrected_ev_per_atom": 0.03,
  "polymorph_energy_ev_per_atom": 0.289,
  "lattice": [[2.669, 0.000, 0.000], [-1.335, 2.311, 0.000], [0.000, 0.000, 24.308]],
  "species": ["Re", "Re", "Re", "B", "B", "B", "F", "F", "F", "F", "F", "F"],
  "frac_coords": [[0.000, 0.000, 0.000], [0.333, 0.667, 0.667], [0.667, 0.333, 0.333], [0.000, 0.000, 0.500], [0.333, 0.667, 0.167], [0.667, 0.333, 0.833], [0.000, 0.000, 0.080], [0.000, 0.000, 0.920], [0.333, 0.667, 0.587], [0.333, 0.667, 0.747], [0.667, 0.333, 0.253], [0.667, 0.333, 0.413]]
}